# 1
CdRu2Au: relaxed, GGA-PBE.

Cell lengths 2.787, 2.787, 9.687 Å; angles 90.00, 90.00, 117.68 degrees
Fractional coordinates of all 4 atoms:
Cd1 0.000 0.000 0.000
Ru1 0.500 0.500 0.251
Ru2 0.500 0.500 0.749
Au1 0.000 0.000 0.500

* formation enthalpy at 0 K: 0.540 eV/atom
* magnetization: 0.52 μB/atom
* space group: Cmmm (65)



# 2
CdRu2Au: relaxed, GGA-PBE.

Cell lengths 2.852, 2.852, 8.104 Å; angles 90.00, 90.00, 90.00 degrees
Fractional coordinates of all 4 atoms:
Cd1 0.000 0.000 0.000
Ru1 0.000 0.000 0.459
Ru2 0.500 0.500 0.263
Au1 0.500 0.500 0.720

* formation enthalpy at 0 K: 0.112 eV/atom
* magnetization: 0.00 μB/atom
* space group: P4mm (99)



# 3
CdRu2Au: relaxed, GGA-PBE.

Cell lengths 5.034, 5.034, 4.855 Å; angles 99.86, 99.86, 32.97 degrees
Fractional coordinates of all 4 atoms:
Cd1 0.000 0.000 0.000
Ru1 0.248 0.248 0.740
Ru2 0.752 0.752 0.260
Au1 0.500 0.500 0.500

* formation enthalpy at 0 K: 0.403 eV/atom
* magnetization: 0.58 μB/atom
* space group: C2/m (12)



# 4
CdRu2Au: relaxed, GGA-PBE.

Cell lengths 2.844, 3.724, 6.283 Å; angles 90.00, 90.00, 90.00 degrees
Fractional coordinates of all 4 atoms:
Cd1 0.000 0.000 0.000
Ru1 0.000 0.000 0.459
Ru2 0.500 0.500 0.283
Au1 0.500 0.500 0.731

* formation enthalpy at 0 K: 0.199 eV/atom
* magnetization: 0.00 μB/atom
* space group: Pmm2 (25)



> What is the formation enthalpy at 0 K in the third record?

0.403 eV/atom



Repeat the first record exactly.
CdRu2Au: relaxed, GGA-PBE.

Cell lengths 2.787, 2.787, 9.687 Å; angles 90.00, 90.00, 117.68 degrees
Fractional coordinates of all 4 atoms:
Cd1 0.000 0.000 0.000
Ru1 0.500 0.500 0.251
Ru2 0.500 0.500 0.749
Au1 0.000 0.000 0.500

* formation enthalpy at 0 K: 0.540 eV/atom
* magnetization: 0.52 μB/atom
* space group: Cmmm (65)